In3Pt3Au | PBE | optimized geometry

Summary:
mass density: 14.040 Mg/m³
ΔE_f: -0.33 eV per atom
uncorrected energy: -127.7 eV for the cell shown
volume: 533.01 Å³/cell
size of the total moment: 0.00 μB per formula unit
Fermi-level density of states: 10.1 states/eV per cell

a b c (Å): 8.1080 8.1080 8.1080
angles (deg): 90.00 90.00 90.00
Last column: nearest neighbours and their distance in Å.
Positions (direct):
In  0.8511  0.3511  0.1489  6 Pt 2.75-2.77, 1 Au 2.96
In  0.8789  0.8789  0.8789  6 Pt 2.80-2.81, 3 Au 3.01
In  0.7940  0.7060  0.2940  6 Pt 2.77-2.94
In  0.1489  0.8511  0.3511  6 Pt 2.75-2.77, 1 Au 2.96
In  0.2060  0.2060  0.2060  6 Pt 2.77-2.94
In  0.2940  0.7940  0.7060  6 Pt 2.77-2.94
In  0.1211  0.3789  0.6211  6 Pt 2.80-2.81, 3 Au 3.01
In  0.3511  0.1489  0.8511  6 Pt 2.75-2.77, 1 Au 2.96
In  0.7060  0.2940  0.7940  6 Pt 2.77-2.94
In  0.6489  0.6489  0.6489  6 Pt 2.75-2.77, 1 Au 2.96
In  0.6211  0.1211  0.3789  6 Pt 2.80-2.81, 3 Au 3.01
In  0.3789  0.6211  0.1211  6 Pt 2.80-2.81, 3 Au 3.01
Pt  0.6958  0.6036  0.9836  6 In 2.75-2.94, 2 Au 2.99-3.01, 2 Pt 2.99
Pt  0.8964  0.0164  0.1958  6 In 2.75-2.94, 2 Au 2.99-3.01, 2 Pt 2.99
Pt  0.9836  0.6958  0.6036  6 In 2.75-2.94, 2 Au 2.99-3.01, 2 Pt 2.99
Pt  0.1036  0.5164  0.3042  6 In 2.75-2.94, 2 Au 2.99-3.01, 2 Pt 2.99
Pt  0.3042  0.1036  0.5164  6 In 2.75-2.94, 2 Au 2.99-3.01, 2 Pt 2.99
Pt  0.1958  0.8964  0.0164  6 In 2.75-2.94, 2 Au 2.99-3.01, 2 Pt 2.99
Pt  0.0164  0.1958  0.8964  6 In 2.75-2.94, 2 Au 2.99-3.01, 2 Pt 2.99
Pt  0.3964  0.4836  0.8042  6 In 2.75-2.94, 2 Au 2.99-3.01, 2 Pt 2.99
Pt  0.5164  0.3042  0.1036  6 In 2.75-2.94, 2 Au 2.99-3.01, 2 Pt 2.99
Pt  0.6036  0.9836  0.6958  6 In 2.75-2.94, 2 Au 2.99-3.01, 2 Pt 2.99
Pt  0.8042  0.3964  0.4836  6 In 2.75-2.94, 2 Au 2.99-3.01, 2 Pt 2.99
Pt  0.4836  0.8042  0.3964  6 In 2.75-2.94, 2 Au 2.99-3.01, 2 Pt 2.99
Au  0.0619  0.5619  0.9381  5 In 2.96-3.26, 6 Pt 2.99-3.01
Au  0.9381  0.0619  0.5619  5 In 2.96-3.26, 6 Pt 2.99-3.01
Au  0.4381  0.4381  0.4381  5 In 2.96-3.26, 6 Pt 2.99-3.01
Au  0.5619  0.9381  0.0619  5 In 2.96-3.26, 6 Pt 2.99-3.01